Here is a relaxed Ce2TiGa4Pt3 crystal from Alexandria via LeMat-Bulk. Energies are from PBE.

Values from the calculation:
Energy of formation from the pure elements in kJ/mol of formula units: -810.4
DOS at the Fermi energy in states/eV/cell: 11.35
M_tot in μB/cell: 0.79

```
Ce2TiGa4Pt3
1.0
4.151 0.000 0.000
0.000 4.151 0.000
0.000 0.000 11.227
Pt Ga Ce Ti
3 4 2 1
direct
0.000 0.500 0.135 Pt
0.500 0.000 0.865 Pt
0.000 0.000 0.500 Pt
0.500 0.000 0.643 Ga
0.500 0.500 0.000 Ga
0.000 0.000 0.000 Ga
0.000 0.500 0.357 Ga
0.500 0.000 0.245 Ce
0.000 0.500 0.755 Ce
0.500 0.500 0.500 Ti
```



Here is a relaxed Ce2TmGa3Pt4 crystal from Alexandria via LeMat-Bulk. Energies are from PBE.

Values from the calculation:
Energy of formation from the pure elements in kJ/mol of formula units: -915.4
DOS at the Fermi energy in states/eV/cell: 14.69
M_tot in μB/cell: 1.85

```
Ce2TmGa3Pt4
1.0
-0.490 -4.125 -0.653
1.229 -0.770 3.947
-10.931 0.738 3.547
Ga Pt Ce Tm
3 4 2 1
direct
0.000 0.000 0.500 Ga
0.500 0.000 0.875 Ga
0.000 0.500 0.125 Ga
0.500 0.500 0.000 Pt
0.000 0.500 0.343 Pt
0.500 0.000 0.657 Pt
0.000 0.000 0.000 Pt
0.500 0.000 0.233 Ce
0.000 0.500 0.767 Ce
0.500 0.500 0.500 Tm
```



Here is a relaxed CeTmGaPt crystal from Alexandria via LeMat-Bulk. Energies are from PBE.

Values from the calculation:
Energy of formation from the pure elements in kJ/mol of formula units: -328.3
DOS at the Fermi energy in states/eV/cell: 6.28
M_tot in μB/cell: 0.66
Polymorph energy (0 for the lowest one) in eV/atom: 0.000

```
CeTmGaPt
1.0
-1.340 -2.459 -2.577
4.179 -0.930 -1.286
0.915 -2.763 4.970
Ce Ga Tm Pt
1 1 1 1
direct
0.856 0.500 0.712 Ce
0.426 0.000 0.851 Ga
0.139 0.000 0.278 Tm
0.579 0.500 0.159 Pt
```



Here is a relaxed CeTmGaPt crystal from Alexandria via LeMat-Bulk. Energies are from PBE.

Values from the calculation:
Energy of formation from the pure elements in kJ/mol of formula units: -298.4
DOS at the Fermi energy in states/eV/cell: 5.45
M_tot in μB/cell: 0.49
Polymorph energy (0 for the lowest one) in eV/atom: 0.078

```
CeTmGaPt
1.0
-4.398 2.033 1.370
-4.111 -0.766 -2.805
-3.708 -2.942 1.717
Pt Tm Ce Ga
1 1 1 1
direct
0.250 0.250 0.250 Pt
0.000 0.000 0.000 Tm
0.500 0.500 0.500 Ce
0.750 0.750 0.750 Ga
```



Here is a relaxed CeTmGa2Pt2 crystal from Alexandria via LeMat-Bulk. Energies are from PBE.

Values from the calculation:
Energy of formation from the pure elements in kJ/mol of formula units: -603.4
DOS at the Fermi energy in states/eV/cell: 6.10
M_tot in μB/cell: 0.45

```
CeTmGa2Pt2
1.0
4.483 0.000 0.000
-2.241 3.882 0.000
0.000 0.000 6.933
Tm Ce Ga Pt
1 1 2 2
direct
0.000 0.000 0.500 Tm
0.000 0.000 0.000 Ce
0.333 0.667 0.270 Ga
0.667 0.333 0.730 Ga
0.667 0.333 0.269 Pt
0.333 0.667 0.731 Pt
```



Here is a relaxed CeYGa2Pt2 crystal from Alexandria via LeMat-Bulk. Energies are from PBE.

Values from the calculation:
Energy of formation from the pure elements in kJ/mol of formula units: -596.4
DOS at the Fermi energy in states/eV/cell: 6.43
M_tot in μB/cell: 0.41

```
CeYGa2Pt2
1.0
-0.632 4.324 -1.036
-2.538 -3.165 -1.927
-4.678 0.568 5.225
Pt Ce Ga Y
2 1 2 1
direct
0.667 0.333 0.259 Pt
0.333 0.667 0.741 Pt
0.000 0.000 0.000 Ce
0.667 0.333 0.738 Ga
0.333 0.667 0.262 Ga
0.000 0.000 0.500 Y
```



Here is a relaxed CeYGaPt crystal from Alexandria via LeMat-Bulk. Energies are from PBE.

Values from the calculation:
Energy of formation from the pure elements in kJ/mol of formula units: -289.7
DOS at the Fermi energy in states/eV/cell: 6.11
M_tot in μB/cell: 0.56
Polymorph energy (0 for the lowest one) in eV/atom: 0.089

```
CeYGaPt
1.0
5.075 0.000 0.000
2.538 4.395 0.000
2.538 1.465 4.144
Ce Y Pt Ga
1 1 1 1
direct
0.000 0.000 0.000 Ce
0.500 0.500 0.500 Y
0.750 0.750 0.750 Pt
0.250 0.250 0.250 Ga
```



Here is a relaxed CeYGaPt crystal from Alexandria via LeMat-Bulk. Energies are from PBE.

Values from the calculation:
Energy of formation from the pure elements in kJ/mol of formula units: -324.1
DOS at the Fermi energy in states/eV/cell: 6.86
M_tot in μB/cell: 0.77
Polymorph energy (0 for the lowest one) in eV/atom: 0.000

```
CeYGaPt
1.0
-3.286 1.750 1.111
-2.229 -3.888 -0.466
2.727 -2.115 4.607
Ga Pt Y Ce
1 1 1 1
direct
0.426 0.000 0.851 Ga
0.576 0.500 0.153 Pt
0.140 0.000 0.281 Y
0.858 0.500 0.716 Ce
```



Here is a relaxed CeZnGaPt crystal from Alexandria via LeMat-Bulk. Energies are from PBE.

Values from the calculation:
Energy of formation from the pure elements in kJ/mol of formula units: -234.3
DOS at the Fermi energy in states/eV/cell: 3.53
M_tot in μB/cell: 0.00

```
CeZnGaPt
1.0
4.769 0.000 0.000
2.384 4.130 0.000
2.384 1.377 3.894
Zn Ga Ce Pt
1 1 1 1
direct
0.250 0.250 0.250 Zn
0.500 0.500 0.500 Ga
0.000 0.000 0.000 Ce
0.750 0.750 0.750 Pt
```



Here is a relaxed CeZnGa2Pt2 crystal from Alexandria via LeMat-Bulk. Energies are from PBE.

Values from the calculation:
Energy of formation from the pure elements in kJ/mol of formula units: -439.0
DOS at the Fermi energy in states/eV/cell: 6.61
M_tot in μB/cell: 0.71

```
CeZnGa2Pt2
1.0
-2.331 -2.892 -2.361
1.625 -1.162 3.922
-5.570 2.098 2.929
Ga Ce Pt Zn
2 1 2 1
direct
0.667 0.333 0.701 Ga
0.333 0.667 0.299 Ga
0.000 0.000 0.000 Ce
0.333 0.667 0.711 Pt
0.667 0.333 0.289 Pt
0.000 0.000 0.500 Zn
```



Here is a relaxed Ce2ZnGaPt6 crystal from Alexandria via LeMat-Bulk. Energies are from PBE.

Values from the calculation:
Energy of formation from the pure elements in kJ/mol of formula units: -707.5
DOS at the Fermi energy in states/eV/cell: 13.33
M_tot in μB/cell: 1.25

```
Ce2ZnGaPt6
1.0
8.316 0.009 1.622
0.003 5.593 -0.043
5.646 2.838 5.642
Pt Ga Ce Zn
6 1 2 1
direct
0.251 0.750 0.998 Pt
0.749 0.250 0.002 Pt
0.252 0.250 0.500 Pt
0.748 0.750 0.500 Pt
0.749 0.747 0.002 Pt
0.251 0.253 0.998 Pt
0.000 0.000 0.000 Ga
0.205 0.794 0.411 Ce
0.795 0.206 0.589 Ce
0.500 0.500 0.000 Zn
```



Here is a relaxed Ce2Zn2GaPt5 crystal from Alexandria via LeMat-Bulk. Energies are from PBE.

Values from the calculation:
Energy of formation from the pure elements in kJ/mol of formula units: -688.9
DOS at the Fermi energy in states/eV/cell: 29.44
M_tot in μB/cell: 3.13

```
Ce2Zn2GaPt5
1.0
-0.754 3.432 -1.107
-8.357 -3.219 -4.287
-4.960 1.633 8.444
Ce Pt Zn Ga
4 10 4 2
direct
0.000 0.677 0.177 Ce
0.000 0.323 0.823 Ce
0.000 0.823 0.677 Ce
0.000 0.177 0.323 Ce
0.500 0.000 0.500 Pt
0.500 0.446 0.298 Pt
0.500 0.798 0.946 Pt
0.500 0.946 0.202 Pt
0.500 0.054 0.798 Pt
0.500 0.298 0.554 Pt
0.500 0.202 0.054 Pt
0.500 0.500 0.000 Pt
0.500 0.702 0.446 Pt
0.500 0.554 0.702 Pt
0.000 0.377 0.123 Zn
0.000 0.123 0.623 Zn
0.000 0.623 0.877 Zn
0.000 0.877 0.377 Zn
0.000 0.000 0.000 Ga
0.000 0.500 0.500 Ga
```